VASP calculation (PBE with a Hubbard U) on a geometry-optimized Mg2TaMnO6 structure.

Unit cell a=5.110 b=5.229 c=5.471 alpha=62.73 beta=89.69 gamma=61.59
Element x y z (fractional)
Mg  0.000  0.000  0.000
Mg  0.496  0.998  0.507
Ta  0.784  0.423  0.377
Mn  0.281  0.429  0.874
O  0.072  0.253  0.168
O  0.180  0.247  0.676
O  0.411  0.524  0.160
O  0.562  0.527  0.667
O  0.706  0.878  0.201
O  0.886  0.949  0.663

Results
- space group = P1
- calculated total energy (eV per atom) = -7.71
- calculated density (Mg/m³) = 5.745